a) First-principles (PBE-GGA) data for TmMgAsO after structural relaxation, as listed in the Open Quantum Materials Database.

```
data_TmMgAsO
_cell_length_a 4.012
_cell_length_b 4.012
_cell_length_c 8.868
_cell_angle_alpha 90.00
_cell_angle_beta 90.00
_cell_angle_gamma 90.00
_space_group_name_H-M_alt 'P 4/n m m'
_space_group_IT_number 129
loop_
_space_group_symop_operation_xyz
'x,y,z'
'-x,-y,-z'
'-y+1/2,x,z'
'y+1/2,-x,-z'
'-x+1/2,-y+1/2,z'
'x+1/2,y+1/2,-z'
'y,-x+1/2,z'
'-y,x+1/2,-z'
'x+1/2,-y,-z'
'-x+1/2,y,z'
'-y,-x,-z'
'y,x,z'
'-x,y+1/2,-z'
'x,-y+1/2,z'
'y+1/2,x+1/2,-z'
'-y+1/2,-x+1/2,z'
loop_
_atom_site_label
_atom_site_type_symbol
_atom_site_fract_x
_atom_site_fract_y
_atom_site_fract_z
Tm1 Tm 0.250 0.250 0.113
Mg1 Mg 0.250 0.750 0.500
As1 As 0.250 0.250 0.691
O1 O 0.250 0.750 0.000
```

volume	17.842	Å³ per atom



b) First-principles (PBE-GGA) data for TmMgAsO after structural relaxation, as listed in the Open Quantum Materials Database.

```
data_TmMgAsO
_cell_length_a 4.354
_cell_length_b 4.354
_cell_length_c 9.497
_cell_angle_alpha 90.00
_cell_angle_beta 90.00
_cell_angle_gamma 90.00
_space_group_name_H-M_alt 'P 4/n m m'
_space_group_IT_number 129
loop_
_space_group_symop_operation_xyz
'x,y,z'
'-x,-y,-z'
'-y+1/2,x,z'
'y+1/2,-x,-z'
'-x+1/2,-y+1/2,z'
'x+1/2,y+1/2,-z'
'y,-x+1/2,z'
'-y,x+1/2,-z'
'x+1/2,-y,-z'
'-x+1/2,y,z'
'-y,-x,-z'
'y,x,z'
'-x,y+1/2,-z'
'x,-y+1/2,z'
'y+1/2,x+1/2,-z'
'-y+1/2,-x+1/2,z'
loop_
_atom_site_label
_atom_site_type_symbol
_atom_site_fract_x
_atom_site_fract_y
_atom_site_fract_z
Tm1 Tm 0.250 0.750 0.000
Mg1 Mg 0.250 0.250 0.497
As1 As 0.250 0.250 0.176
O1 O 0.250 0.750 0.500
```

volume	22.508	Å³ per atom



a) (765 meV per atom below the next structure)



a) First-principles (PBE-GGA) data for TmMgAsO after structural relaxation, as listed in the Open Quantum Materials Database.

```
data_TmMgAsO
_cell_length_a 3.829
_cell_length_b 6.063
_cell_length_c 6.549
_cell_angle_alpha 90.00
_cell_angle_beta 90.00
_cell_angle_gamma 90.00
_space_group_name_H-M_alt 'P m c 21'
_space_group_IT_number 26
loop_
_space_group_symop_operation_xyz
'x,y,z'
'-x,-y,z+1/2'
'-x,y,z'
'x,-y,z+1/2'
loop_
_atom_site_label
_atom_site_type_symbol
_atom_site_fract_x
_atom_site_fract_y
_atom_site_fract_z
Tm1 Tm 0.000 0.037 0.000
Mg1 Mg 0.500 0.364 0.327
As1 As 0.500 0.224 0.728
O1 O 0.000 0.244 0.273
```

volume	19.006	Å³ per atom



b) First-principles (PBE-GGA) data for TmMgAsO after structural relaxation, as listed in the Open Quantum Materials Database.

```
data_TmMgAsO
_cell_length_a 4.013
_cell_length_b 4.013
_cell_length_c 8.874
_cell_angle_alpha 90.00
_cell_angle_beta 90.00
_cell_angle_gamma 90.00
_space_group_name_H-M_alt 'P 4/n m m'
_space_group_IT_number 129
loop_
_space_group_symop_operation_xyz
'x,y,z'
'-x,-y,-z'
'-y+1/2,x,z'
'y+1/2,-x,-z'
'-x+1/2,-y+1/2,z'
'x+1/2,y+1/2,-z'
'y,-x+1/2,z'
'-y,x+1/2,-z'
'x+1/2,-y,-z'
'-x+1/2,y,z'
'-y,-x,-z'
'y,x,z'
'-x,y+1/2,-z'
'x,-y+1/2,z'
'y+1/2,x+1/2,-z'
'-y+1/2,-x+1/2,z'
loop_
_atom_site_label
_atom_site_type_symbol
_atom_site_fract_x
_atom_site_fract_y
_atom_site_fract_z
Tm1 Tm 0.250 0.250 0.112
Mg1 Mg 0.250 0.750 0.500
As1 As 0.250 0.250 0.691
O1 O 0.250 0.750 0.000
```

volume	17.860	Å³ per atom



c) First-principles (PBE-GGA) data for TmMgAsO after structural relaxation, as listed in the Open Quantum Materials Database.

```
data_TmMgAsO
_cell_length_a 4.387
_cell_length_b 6.020
_cell_length_c 5.836
_cell_angle_alpha 90.00
_cell_angle_beta 90.00
_cell_angle_gamma 90.00
_space_group_name_H-M_alt 'P m c 21'
_space_group_IT_number 26
loop_
_space_group_symop_operation_xyz
'x,y,z'
'-x,-y,z+1/2'
'-x,y,z'
'x,-y,z+1/2'
loop_
_atom_site_label
_atom_site_type_symbol
_atom_site_fract_x
_atom_site_fract_y
_atom_site_fract_z
Tm1 Tm 0.000 0.228 0.000
Mg1 Mg 0.500 0.397 0.641
As1 As 0.000 0.241 0.488
O1 O 0.500 0.312 0.974
```

volume	19.266	Å³ per atom



b) (13 meV per atom below the next structure)



a) First-principles (PBE-GGA) data for MgZrAsO after structural relaxation, as listed in the Open Quantum Materials Database.

```
data_MgZrAsO
_cell_length_a 3.855
_cell_length_b 3.855
_cell_length_c 8.599
_cell_angle_alpha 90.00
_cell_angle_beta 90.00
_cell_angle_gamma 90.00
_space_group_name_H-M_alt 'P 4/n m m'
_space_group_IT_number 129
loop_
_space_group_symop_operation_xyz
'x,y,z'
'-x,-y,-z'
'-y+1/2,x,z'
'y+1/2,-x,-z'
'-x+1/2,-y+1/2,z'
'x+1/2,y+1/2,-z'
'y,-x+1/2,z'
'-y,x+1/2,-z'
'x+1/2,-y,-z'
'-x+1/2,y,z'
'-y,-x,-z'
'y,x,z'
'-x,y+1/2,-z'
'x,-y+1/2,z'
'y+1/2,x+1/2,-z'
'-y+1/2,-x+1/2,z'
loop_
_atom_site_label
_atom_site_type_symbol
_atom_site_fract_x
_atom_site_fract_y
_atom_site_fract_z
Mg1 Mg 0.250 0.750 0.000
Zr1 Zr 0.250 0.250 0.370
As1 As 0.250 0.250 0.790
O1 O 0.250 0.750 0.500
```

volume	15.975	Å³ per atom



b) First-principles (PBE-GGA) data for MgZrAsO after structural relaxation, as listed in the Open Quantum Materials Database.

```
data_MgZrAsO
_cell_length_a 4.248
_cell_length_b 4.248
_cell_length_c 9.231
_cell_angle_alpha 90.00
_cell_angle_beta 90.00
_cell_angle_gamma 90.00
_space_group_name_H-M_alt 'P 4/n m m'
_space_group_IT_number 129
loop_
_space_group_symop_operation_xyz
'x,y,z'
'-x,-y,-z'
'-y+1/2,x,z'
'y+1/2,-x,-z'
'-x+1/2,-y+1/2,z'
'x+1/2,y+1/2,-z'
'y,-x+1/2,z'
'-y,x+1/2,-z'
'x+1/2,-y,-z'
'-x+1/2,y,z'
'-y,-x,-z'
'y,x,z'
'-x,y+1/2,-z'
'x,-y+1/2,z'
'y+1/2,x+1/2,-z'
'-y+1/2,-x+1/2,z'
loop_
_atom_site_label
_atom_site_type_symbol
_atom_site_fract_x
_atom_site_fract_y
_atom_site_fract_z
Mg1 Mg 0.250 0.250 0.004
Zr1 Zr 0.250 0.750 0.500
As1 As 0.250 0.250 0.673
O1 O 0.250 0.750 0.000
```

volume	20.821	Å³ per atom



c) First-principles (PBE-GGA) data for MgZrAsO after structural relaxation, as listed in the Open Quantum Materials Database.

```
data_MgZrAsO
_cell_length_a 4.095
_cell_length_b 6.007
_cell_length_c 5.626
_cell_angle_alpha 90.00
_cell_angle_beta 90.00
_cell_angle_gamma 90.00
_space_group_name_H-M_alt 'P m c 21'
_space_group_IT_number 26
loop_
_space_group_symop_operation_xyz
'x,y,z'
'-x,-y,z+1/2'
'-x,y,z'
'x,-y,z+1/2'
loop_
_atom_site_label
_atom_site_type_symbol
_atom_site_fract_x
_atom_site_fract_y
_atom_site_fract_z
Mg1 Mg 0.000 0.007 0.000
Zr1 Zr 0.500 0.334 0.257
As1 As 0.500 0.215 0.755
O1 O 0.000 0.244 0.256
```

volume	17.298	Å³ per atom



c) (163 meV per atom below the next structure)



a) First-principles (PBE-GGA) data for MgZrReAs after structural relaxation, as listed in the Open Quantum Materials Database.

```
data_MgZrReAs
_cell_length_a 6.493
_cell_length_b 6.493
_cell_length_c 6.493
_cell_angle_alpha 90.00
_cell_angle_beta 90.00
_cell_angle_gamma 90.00
_space_group_name_H-M_alt 'F -4 3 m'
_space_group_IT_number 216
_space_group_name_Hall 'F -4 2 3'
loop_
_atom_site_label
_atom_site_type_symbol
_atom_site_fract_x
_atom_site_fract_y
_atom_site_fract_z
Mg1 Mg 0.000 0.000 0.000
Zr1 Zr 0.250 0.250 0.750
Re1 Re 0.250 0.250 0.250
As1 As 0.000 0.000 0.500
```

volume	17.106	Å³ per atom



b) First-principles (PBE-GGA) data for MgZrReAs after structural relaxation, as listed in the Open Quantum Materials Database.

```
data_MgZrReAs
_cell_length_a 6.551
_cell_length_b 6.551
_cell_length_c 6.551
_cell_angle_alpha 90.00
_cell_angle_beta 90.00
_cell_angle_gamma 90.00
_space_group_name_H-M_alt 'F -4 3 m'
_space_group_IT_number 216
_space_group_name_Hall 'F -4 2 3'
loop_
_atom_site_label
_atom_site_type_symbol
_atom_site_fract_x
_atom_site_fract_y
_atom_site_fract_z
Mg1 Mg 0.000 0.000 0.000
Zr1 Zr 0.000 0.000 0.500
Re1 Re 0.250 0.250 0.250
As1 As 0.250 0.250 0.750
```

volume	17.575	Å³ per atom



c) First-principles (PBE-GGA) data for MgZrReAs after structural relaxation, as listed in the Open Quantum Materials Database.

```
data_MgZrReAs
_cell_length_a 6.472
_cell_length_b 6.472
_cell_length_c 6.472
_cell_angle_alpha 90.00
_cell_angle_beta 90.00
_cell_angle_gamma 90.00
_space_group_name_H-M_alt 'F -4 3 m'
_space_group_IT_number 216
_space_group_name_Hall 'F -4 2 3'
loop_
_atom_site_label
_atom_site_type_symbol
_atom_site_fract_x
_atom_site_fract_y
_atom_site_fract_z
Mg1 Mg 0.000 0.000 0.000
Zr1 Zr 0.250 0.250 0.750
Re1 Re 0.000 0.000 0.500
As1 As 0.250 0.250 0.250
```

volume	16.940	Å³ per atom



c) (37 meV per atom below the next structure)